The following is a DFT calculation (GGA-PBE) of a geometry-optimized AlV2P structure. Values from VASP.

Properties
- magnetization (μB/cell) = 0.0
- excess energy over the best structure of this formula in the dataset (meV/atom) = 0
- volume (A^3/atom) = 13.81

The structure in Quantum ESPRESSO input format:
```
&SYSTEM
  ibrav = 0, nat = 4, ntyp = 3
/
ATOMIC_SPECIES
P 30.97 P.upf
Al 26.98 Al.upf
V 50.94 V.upf
ATOMIC_POSITIONS angstrom
P 1.4358 1.4358 0.0000
Al 1.4358 1.4358 3.3507
V 0.0000 0.0000 5.3294
V 0.0000 0.0000 1.3720
CELL_PARAMETERS angstrom
2.8716 0.0000 0.0000
0.0000 2.8716 0.0000
0.0000 0.0000 6.7013
```


The following is a DFT calculation (GGA-PBE) of a geometry-optimized Al2V6P structure. Values from VASP.

Properties
- magnetization (μB/cell) = 0.0
- volume (A^3/atom) = 13.57
- final energy (eV/atom) = -7.6740

The structure in Quantum ESPRESSO input format:
```
&SYSTEM
  ibrav = 0, nat = 9, ntyp = 3
/
ATOMIC_SPECIES
Al 26.98 Al.upf
V 50.94 V.upf
P 30.97 P.upf
ATOMIC_POSITIONS angstrom
Al -4.1283 -2.4001 -1.1998
Al -1.4922 -4.1280 1.7066
V -1.1815 -2.1451 -0.3517
V -1.3243 -3.8920 4.7698
V -4.4390 -4.3830 0.8585
V -2.5069 -0.2049 -1.0618
V -4.2962 -2.6361 -4.2630
V -4.1524 -0.4643 -3.1282
P 0.0000 0.0000 0.0000
CELL_PARAMETERS angstrom
-2.0370 0.0596 1.6146
-4.6224 -0.7288 -5.8047
1.0388 -5.8589 4.6968
```


The following is a DFT calculation (GGA-PBE) of a geometry-optimized AlV4P structure. Values from VASP.

Properties
- magnetization (μB/cell) = 0.0
- volume (A^3/atom) = 14.89
- final energy (eV/atom) = -7.8084

The structure in Quantum ESPRESSO input format:
```
&SYSTEM
  ibrav = 0, nat = 12, ntyp = 3
/
ATOMIC_SPECIES
Al 26.98 Al.upf
V 50.94 V.upf
P 30.97 P.upf
ATOMIC_POSITIONS angstrom
Al 3.4694 -4.9899 4.1781
Al 1.9963 -1.3341 1.7172
V 1.9904 -3.4652 5.5096
V 3.4752 -2.8588 0.3857
V 5.4259 -3.5162 5.2008
V 0.0400 -2.8080 0.6944
V 1.7796 -3.9168 2.4520
V 2.0581 -0.8513 4.3152
V 0.0907 -2.3025 3.3566
V 3.6862 -2.4074 3.4432
P 1.8076 -4.4300 0.0757
P 3.6582 -1.8942 5.8195
CELL_PARAMETERS angstrom
-2.8071 -3.3201 0.6839
3.3170 -3.1704 -1.7765
4.4768 0.6244 7.2445
```


The following is a DFT calculation (GGA-PBE) of a geometry-optimized AlVP2 structure. Values from VASP.

Properties
- magnetization (μB/cell) = 0.0
- volume (A^3/atom) = 14.91
- final energy (eV/atom) = -6.3187

The structure in Quantum ESPRESSO input format:
```
&SYSTEM
  ibrav = 0, nat = 4, ntyp = 3
/
ATOMIC_SPECIES
P 30.97 P.upf
Al 26.98 Al.upf
V 50.94 V.upf
ATOMIC_POSITIONS angstrom
P -1.6819 0.2850 -1.8348
P -4.9488 0.6816 -5.4359
Al 0.0000 0.0000 0.0000
V -3.3153 0.4833 -3.6353
CELL_PARAMETERS angstrom
-0.1789 -1.3069 -3.0528
-2.6402 -1.8221 -0.8766
-3.8116 4.0956 -3.3413
```


The following is a DFT calculation (GGA-PBE) of a geometry-optimized Al2VP structure. Values from VASP.

Properties
- magnetization (μB/cell) = 5.5
- volume (A^3/atom) = 16.86
- final energy (eV/atom) = -5.3797

The structure in Quantum ESPRESSO input format:
```
&SYSTEM
  ibrav = 0, nat = 8, ntyp = 3
/
ATOMIC_SPECIES
P 30.97 P.upf
Al 26.98 Al.upf
V 50.94 V.upf
ATOMIC_POSITIONS angstrom
P 2.6054 -4.1883 -1.3821
P 6.2641 -4.6941 -2.4455
Al 1.4274 -5.2414 0.4578
Al 4.5513 -2.9945 -2.2007
Al 5.3246 -6.1306 -0.7322
Al 7.4006 -10.2006 -1.7325
V 0.0000 0.0000 0.0000
V 3.0879 -7.5896 0.3417
CELL_PARAMETERS angstrom
-0.5708 -7.0838 1.4051
5.7816 -1.2928 -4.1692
4.1411 -3.9070 0.6603
```


The following is a DFT calculation (GGA-PBE) of a geometry-optimized AlV2P structure. Values from VASP.

Properties
- magnetization (μB/cell) = 0.0
- excess energy over the best structure of this formula in the dataset (meV/atom) = 265
- volume (A^3/atom) = 14.10

The structure in Quantum ESPRESSO input format:
```
&SYSTEM
  ibrav = 0, nat = 4, ntyp = 3
/
ATOMIC_SPECIES
P 30.97 P.upf
Al 26.98 Al.upf
V 50.94 V.upf
ATOMIC_POSITIONS angstrom
P -0.3365 -3.5996 3.6125
Al 0.0000 0.0000 0.0000
V -0.2941 -5.4807 5.1812
V -0.3789 -1.7186 2.0438
CELL_PARAMETERS angstrom
-0.8335 -3.9606 0.6153
2.2017 -2.1611 2.6911
-2.0412 -1.0775 3.9187
```


The following is a DFT calculation (GGA-PBE) of a geometry-optimized AlV2P structure. Values from VASP.

Properties
- magnetization (μB/cell) = 0.0
- excess energy over the best structure of this formula in the dataset (meV/atom) = 289
- volume (A^3/atom) = 14.63

The structure in Quantum ESPRESSO input format:
```
&SYSTEM
  ibrav = 0, nat = 8, ntyp = 3
/
ATOMIC_SPECIES
P 30.97 P.upf
Al 26.98 Al.upf
V 50.94 V.upf
ATOMIC_POSITIONS angstrom
P 0.0000 0.0000 0.0000
P 6.6699 3.3349 1.3158
Al 3.3349 3.3349 0.0000
Al 3.3349 6.6699 1.3158
V 5.2413 1.6675 0.6579
V 1.4286 5.0024 0.6579
V 5.0024 4.7635 1.9737
V 8.3374 8.5763 1.9737
CELL_PARAMETERS angstrom
6.6699 0.0000 0.0000
0.0000 6.6699 0.0000
3.3349 3.3349 2.6316
```


The following is a DFT calculation (GGA-PBE) of a geometry-optimized AlV3P structure. Values from VASP.

Properties
- magnetization (μB/cell) = 3.3
- excess energy over the best structure of this formula in the dataset (meV/atom) = 489
- volume (A^3/atom) = 16.35

The structure in Quantum ESPRESSO input format:
```
&SYSTEM
  ibrav = 0, nat = 5, ntyp = 3
/
ATOMIC_SPECIES
P 30.97 P.upf
Al 26.98 Al.upf
V 50.94 V.upf
ATOMIC_POSITIONS angstrom
P 0.0000 0.0000 0.0000
Al 2.1701 2.1701 2.1701
V 0.0000 2.1701 0.0000
V 0.0000 0.0000 2.1701
V 2.1701 0.0000 0.0000
CELL_PARAMETERS angstrom
4.3402 0.0000 0.0000
0.0000 4.3402 0.0000
0.0000 0.0000 4.3402
```


The following is a DFT calculation (GGA-PBE) of a geometry-optimized YAl2VP structure. Values from VASP.

Properties
- magnetization (μB/cell) = 1.5
- volume (A^3/atom) = 20.28
- final energy (eV/atom) = -5.5898

The structure in Quantum ESPRESSO input format:
```
&SYSTEM
  ibrav = 0, nat = 5, ntyp = 4
/
ATOMIC_SPECIES
Y 88.91 Y.upf
P 30.97 P.upf
Al 26.98 Al.upf
V 50.94 V.upf
ATOMIC_POSITIONS angstrom
Y 2.3833 2.2313 2.3833
P 0.0000 0.0000 0.0000
Al 0.0000 0.0000 2.3833
Al 2.3833 0.0000 0.0000
V 0.0000 2.2313 0.0000
CELL_PARAMETERS angstrom
4.7666 0.0000 0.0000
0.0000 4.4626 0.0000
0.0000 0.0000 4.7666
```


The following is a DFT calculation (GGA-PBE) of a geometry-optimized AlPW2 structure. Values from VASP.

Properties
- magnetization (μB/cell) = 0.0
- excess energy over the best structure of this formula in the dataset (meV/atom) = 320
- volume (A^3/atom) = 15.22

The structure in Quantum ESPRESSO input format:
```
&SYSTEM
  ibrav = 0, nat = 4, ntyp = 3
/
ATOMIC_SPECIES
P 30.97 P.upf
Al 26.98 Al.upf
W 183.84 W.upf
ATOMIC_POSITIONS angstrom
P -6.0049 -3.5676 3.2939
Al -2.0016 -1.1892 1.0980
W -7.9958 -4.7527 4.3815
W -4.0140 -2.3824 2.2062
CELL_PARAMETERS angstrom
-4.2595 -1.7848 -0.4684
-2.3604 -3.9428 0.6564
-1.3867 0.9708 4.2039
```


The following is a DFT calculation (GGA-PBE) of a geometry-optimized AlPW2 structure. Values from VASP.

Properties
- magnetization (μB/cell) = 0.0
- excess energy over the best structure of this formula in the dataset (meV/atom) = 370
- volume (A^3/atom) = 15.15

The structure in Quantum ESPRESSO input format:
```
&SYSTEM
  ibrav = 0, nat = 4, ntyp = 3
/
ATOMIC_SPECIES
P 30.97 P.upf
Al 26.98 Al.upf
W 183.84 W.upf
ATOMIC_POSITIONS angstrom
P 4.4652 1.2206 4.2803
Al 1.0975 0.0375 2.3226
W 6.5945 2.3168 3.8334
W 3.5088 1.2327 2.0397
CELL_PARAMETERS angstrom
-1.5815 1.5565 1.7799
0.4087 -2.6648 0.9076
6.7355 2.3664 3.9154
```


The following is a DFT calculation (GGA-PBE) of a geometry-optimized AlPW2 structure. Values from VASP.

Properties
- magnetization (μB/cell) = 0.0
- excess energy over the best structure of this formula in the dataset (meV/atom) = 471
- volume (A^3/atom) = 14.57

The structure in Quantum ESPRESSO input format:
```
&SYSTEM
  ibrav = 0, nat = 4, ntyp = 3
/
ATOMIC_SPECIES
P 30.97 P.upf
Al 26.98 Al.upf
W 183.84 W.upf
ATOMIC_POSITIONS angstrom
P 3.0772 3.0772 3.0772
Al 0.0000 0.0000 0.0000
W 1.5386 1.5386 1.5386
W 4.6158 4.6158 4.6158
CELL_PARAMETERS angstrom
0.0000 3.0772 3.0772
3.0772 0.0000 3.0772
3.0772 3.0772 0.0000
```


The following is a DFT calculation (GGA-PBE) of a geometry-optimized Al3PW structure. Values from VASP.

Properties
- magnetization (μB/cell) = 0.0
- excess energy over the best structure of this formula in the dataset (meV/atom) = 0
- volume (A^3/atom) = 18.27

The structure in Quantum ESPRESSO input format:
```
&SYSTEM
  ibrav = 0, nat = 5, ntyp = 3
/
ATOMIC_SPECIES
P 30.97 P.upf
Al 26.98 Al.upf
W 183.84 W.upf
ATOMIC_POSITIONS angstrom
P 0.0000 0.0000 0.0000
Al -1.8117 -1.2081 0.5730
Al 0.6116 0.1094 2.1643
Al -1.1891 1.8970 0.2401
W -2.3892 0.7983 2.9774
CELL_PARAMETERS angstrom
-2.3781 3.7940 0.4802
-3.6234 -2.4162 1.1461
1.2232 0.2189 4.3285
```


The following is a DFT calculation (GGA-PBE) of a geometry-optimized AlPW2 structure. Values from VASP.

Properties
- magnetization (μB/cell) = 0.0
- excess energy over the best structure of this formula in the dataset (meV/atom) = 454
- volume (A^3/atom) = 14.96

The structure in Quantum ESPRESSO input format:
```
&SYSTEM
  ibrav = 0, nat = 4, ntyp = 3
/
ATOMIC_SPECIES
P 30.97 P.upf
Al 26.98 Al.upf
W 183.84 W.upf
ATOMIC_POSITIONS angstrom
P 1.2142 -2.2431 -0.4525
Al 2.5243 -0.8264 1.5325
W 0.0000 0.0000 0.0000
W -1.1311 -2.9768 0.3671
CELL_PARAMETERS angstrom
-2.4413 -4.3935 -1.6179
4.8696 -0.0927 0.7128
0.1790 -1.5602 2.3521
```